# 1
Entry from Alexandria via LeMat-Bulk: crystalline WAuCCl2 at its relaxed geometry (PBE).

Cell: 5.4194 5.4194 3.8442 Å, 90.00 90.00 90.00°
Closest atoms and distances in Å follow each position.
Fractional coordinates of all 5 atoms:
W 0.0000 0.0000 0.0000  8 Cl 3.32
Au 0.5000 0.5000 0.5000  2 C 1.92
C 0.5000 0.5000 0.0000  2 Au 1.92
Cl 0.0000 0.5000 0.5000  2 Au 2.71
Cl 0.5000 0.0000 0.5000  2 Au 2.71

The space-group type is P4/mmm, No. 123. The calculation puts the uncorrected formation energy at 1982 meV/atom. The value obtained for the density of states at the Fermi level is 0.95 states/eV per atom.

# 2
Entry from Alexandria via LeMat-Bulk: crystalline Ca2ErAgSe4 at its relaxed geometry (PBE).

Cell: 7.1501 4.1605 7.2059 Å, 90.00 109.71 90.00°
Closest atoms and distances in Å follow each position.
Fractional coordinates of all 8 atoms:
Ca 0.0000 0.0000 0.0000  6 Se 2.98-3.01
Ca 0.0000 0.5000 0.5000  6 Se 2.91-2.95
Er 0.5000 0.0000 0.5000  6 Se 2.86-2.88
Ag 0.5000 0.5000 0.0000  6 Se 2.91-2.96
Se 0.2568 0.5000 0.2611  2 Er 2.88, 3 Ca 2.91-2.98, 1 Ag 2.96
Se 0.2600 0.0000 0.7470  1 Er 2.86, 2 Ag 2.91, 3 Ca 2.95-3.01
Se 0.7400 0.0000 0.2530  1 Er 2.86, 2 Ag 2.91, 3 Ca 2.95-3.01
Se 0.7432 0.5000 0.7389  2 Er 2.88, 3 Ca 2.91-2.98, 1 Ag 2.96

The space-group type is P2/m, No. 10. The calculation puts the uncorrected formation energy at -1565 meV/atom.

# 3
Entry from Alexandria via LeMat-Bulk: crystalline Cd2InTe at its relaxed geometry (PBE).

Cell: 4.6399 4.1252 6.0945 Å, 90.00 109.49 90.00°
Closest atoms and distances in Å follow each position.
Fractional coordinates of all 4 atoms:
Cd 0.0000 0.0000 0.0000  4 Te 3.10, 2 In 3.15
Cd 0.0000 0.5000 0.5000  4 In 3.10, 2 Te 3.15
In 0.5000 0.0000 0.5000  6 Cd 3.10-3.15
Te 0.5000 0.5000 0.0000  6 Cd 3.10-3.15

The space-group type is P2/m, No. 10. The calculation puts the uncorrected formation energy at -20 meV/atom. The excess energy over the best structure of this formula in the dataset comes out at 0.229 eV/f.u. The value obtained for the density of states at the Fermi level is 0.41 states/eV per atom.

# 4
Entry from Alexandria via LeMat-Bulk: crystalline AgAu at its relaxed geometry (PBE).

Cell: 2.9446 2.9446 9.6059 Å, 90.00 90.00 120.00°
Closest atoms and distances in Å follow each position.
Fractional coordinates of all 4 atoms:
Ag 0.3333 0.6667 0.3767  9 Ag 2.92-2.94, 3 Au 2.94
Ag 0.6667 0.3333 0.6233  9 Ag 2.92-2.94, 3 Au 2.94
Au 0.3333 0.6667 0.8725  3 Ag 2.94, 9 Au 2.94-2.98
Au 0.6667 0.3333 0.1275  3 Ag 2.94, 9 Au 2.94-2.98

The space-group type is P-3m1, No. 164. The calculated formation energy is 0.002 eV per formula unit. The value obtained for the density of states at the Fermi level is 0.29 states/eV per atom.

# 5
Entry from Alexandria via LeMat-Bulk: crystalline TcP2Pt at its relaxed geometry (PBE).

Cell: 3.7077 4.4620 4.3422 Å, 90.00 115.14 90.00°
Closest atoms and distances in Å follow each position.
Fractional coordinates of all 4 atoms:
Tc 0.0000 0.0000 0.0000  5 P 2.34-2.50
P 0.6813 0.0000 0.3644  3 Tc 2.34-2.50, 2 Pt 2.46
P 0.8691 0.5000 0.7374  3 Pt 2.34-2.51, 2 Tc 2.46
Pt 0.5489 0.5000 0.0992  5 P 2.34-2.51

The space-group type is Pm, No. 6. The excess energy over the best structure of this formula in the dataset comes out at 0.000 eV/f.u. The calculated formation energy is -1.581 eV per formula unit. The value obtained for the density of states at the Fermi level is 0.54 states/eV per atom.

# 6
Entry from Alexandria via LeMat-Bulk: crystalline SrPr2Tl at its relaxed geometry (PBE).

Cell: 3.8322 3.8322 10.1943 Å, 90.00 90.00 90.00°
Closest atoms and distances in Å follow each position.
Fractional coordinates of all 4 atoms:
Sr 0.0000 0.0000 0.0000  4 Sr 3.83, 8 Pr 4.09
Pr 0.5000 0.5000 0.3006  4 Tl 3.39
Pr 0.5000 0.5000 0.6994  4 Tl 3.39
Tl 0.0000 0.0000 0.5000  8 Pr 3.39

The space-group type is P4/mmm, No. 123. The excess energy over the best structure of this formula in the dataset comes out at 0.112 eV/f.u. The calculated formation energy is -0.335 eV per formula unit. The value obtained for the density of states at the Fermi level is 1.65 states/eV per atom.

| no. | raw total energy (eV per cell) |
| --- | --- |
| 1 | -19.237 |
| 2 | -37.878 |
| 3 | -7.790 |
| 4 | -12.253 |
| 5 | -28.808 |
| 6 | -13.942 |